Entry 1:
Density functional theory data (GGA-PBE) for a relaxed YPu2Th crystal.

N(E_F) = 4.286 states/eV per atom
Space-group type = No. 166
Calculated density = 11.3 g/cm³
Energy relative to the lowest polymorph listed for this composition = 11.5 meV/atom

Cell lengths 3.492, 3.492, 11.412 Å; angles 81.20, 81.20, 60.00 degrees
Element x y z (fractional)
Y 0.000 0.000 0.000
Th 0.500 0.500 0.500
Pu 0.752 0.752 0.744
Pu 0.248 0.248 0.256

***

Entry 2:
Density functional theory data (GGA-PBE) for a relaxed Li6AgHg crystal.

N(E_F) = 0.479 states/eV per atom
Space-group type = No. 38
Calculated density = 4.2 g/cm³
Energy relative to the lowest polymorph listed for this composition = 0.0 meV/atom

Cell lengths 4.784, 5.785, 5.785 Å; angles 119.92, 90.00, 90.00 degrees
Element x y z (fractional)
Li 0.000 0.092 0.421
Li 0.000 0.579 0.908
Li 0.000 0.579 0.421
Li 0.500 0.406 0.078
Li 0.500 0.922 0.594
Li 0.500 0.921 0.079
Ag 0.000 0.083 0.917
Hg 0.500 0.417 0.583

***

Entry 3:
Density functional theory data (GGA-PBE) for a relaxed Ag2BrCl crystal.

N(E_F) = 0.070 states/eV per atom
Space-group type = No. 71
Calculated density = 5.5 g/cm³
Energy relative to the lowest polymorph listed for this composition = 110.2 meV/atom
Formation energy without anion corrections = -0.279 eV per atom

Cell lengths 5.394, 5.394, 5.394 Å; angles 136.55, 103.65, 92.17 degrees
Element x y z (fractional)
Br 0.750 0.250 0.500
Ag 0.011 0.011 0.000
Ag 0.489 0.489 0.000
Cl 0.250 0.750 0.500

***

Entry 4:
Density functional theory data (GGA-PBE) for a relaxed ZnCuTc crystal.

N(E_F) = 0.095 states/eV per atom
Space-group type = No. 216
Calculated density = 8.0 g/cm³
Energy relative to the lowest polymorph listed for this composition = 617.4 meV/atom

Cell lengths 4.052, 4.052, 4.052 Å; angles 60.00, 60.00, 60.00 degrees
Element x y z (fractional)
Cu 0.750 0.750 0.750
Tc 0.000 0.000 0.000
Zn 0.500 0.500 0.500

***

Entry 5:
Density functional theory data (GGA-PBE) for a relaxed AgMo2Os2 crystal.

N(E_F) = 0.718 states/eV per atom
Space-group type = No. 127
Calculated density = 13.8 g/cm³
Energy relative to the lowest polymorph listed for this composition = 0.0 meV/atom

Cell lengths 7.618, 7.618, 2.830 Å; angles 90.00, 90.00, 90.00 degrees
Element x y z (fractional)
Mo 0.160 0.660 0.500
Mo 0.660 0.840 0.500
Mo 0.840 0.340 0.500
Mo 0.340 0.160 0.500
Os 0.367 0.867 0.000
Os 0.867 0.633 0.000
Os 0.633 0.133 0.000
Os 0.133 0.367 0.000
Ag 0.000 0.000 0.000
Ag 0.500 0.500 0.000

***

One value per record, in order, for magnetization: 11.98, 0.00, 0.00, 2.01, 0.00 μB/f.u..